Record 1
The following is a DFT calculation (GGA-PBE) of a relaxed La3AlO crystal.

Properties
E_form (uncorrected) = -5.71 eV/f.u.
final energy = -5.84 eV per atom
theoretical density = 5.70 g cm⁻³
size of the total moment = 0.0 μB/f.u.
crystal system = monoclinic
symmetry = C2/c (15)

The structure in CIF format:
```
data_La3AlO
_cell_length_a 9.2048
_cell_length_b 9.2048
_cell_length_c 6.4001
_cell_angle_alpha 93.64
_cell_angle_beta 93.64
_cell_angle_gamma 97.26
_symmetry_space_group_name_H-M 'P 1'
_symmetry_Int_Tables_number 1
loop_
_symmetry_equiv_pos_as_xyz
'x,y,z'
loop_
_atom_site_label
_atom_site_fract_x
_atom_site_fract_y
_atom_site_fract_z
_atom_site_occupancy
La1 0.0492 0.7635 0.9332 1
La2 0.1793 0.5820 0.4013 1
La3 0.2365 0.9508 0.5668 1
La4 0.3127 0.4567 0.8986 1
La5 0.4180 0.8207 0.0987 1
La6 0.4567 0.3127 0.3986 1
La7 0.5433 0.6873 0.6014 1
La8 0.5820 0.1793 0.9013 1
La9 0.6873 0.5433 0.1014 1
La10 0.7635 0.0492 0.4332 1
La11 0.8207 0.4180 0.5987 1
La12 0.9508 0.2365 0.0668 1
Al1 0.1034 0.2517 0.5505 1
Al2 0.2517 0.1034 0.0505 1
Al3 0.7483 0.8966 0.9495 1
Al4 0.8966 0.7483 0.4495 1
O1 0.2902 0.7098 0.7500 1
O2 0.4340 0.5660 0.2500 1
O3 0.5660 0.4340 0.7500 1
O4 0.7098 0.2902 0.2500 1
```



Record 2
The following is a DFT calculation (GGA-PBE) of a relaxed La3AlO crystal.

Properties
E_form (uncorrected) = -5.95 eV/f.u.
final energy = -5.89 eV per atom
theoretical density = 5.19 g cm⁻³
size of the total moment = 0.0 μB/f.u.
crystal system = triclinic
symmetry = P1 (1)

The structure in CIF format:
```
data_La3AlO
_cell_length_a 6.6487
_cell_length_b 6.8815
_cell_length_c 6.8938
_cell_angle_alpha 80.83
_cell_angle_beta 84.53
_cell_angle_gamma 71.13
_symmetry_space_group_name_H-M 'P 1'
_symmetry_Int_Tables_number 1
loop_
_symmetry_equiv_pos_as_xyz
'x,y,z'
loop_
_atom_site_label
_atom_site_fract_x
_atom_site_fract_y
_atom_site_fract_z
_atom_site_occupancy
La1 0.0000 0.0000 0.0000 1
La2 0.0346 0.6988 0.5518 1
La3 0.1755 0.4134 0.0826 1
La4 0.5214 0.9009 0.3238 1
La5 0.5910 0.6088 0.8787 1
La6 0.7462 0.2964 0.4456 1
Al1 0.2163 0.1974 0.5984 1
Al2 0.5270 0.1098 0.8374 1
O1 0.7017 0.6250 0.5507 1
O2 0.8441 0.9619 0.3199 1
```



Record 3
The following is a DFT calculation (GGA-PBE) of a relaxed La4AlO7 crystal.

Properties
E_form (uncorrected) = -37.77 eV/f.u.
final energy = -7.99 eV per atom
theoretical density = 6.18 g cm⁻³
size of the total moment = 1.0 μB/f.u.
crystal system = monoclinic
symmetry = C2/m (12)

The structure in CIF format:
```
data_La4AlO7
_cell_length_a 7.0169
_cell_length_b 7.0169
_cell_length_c 9.3010
_cell_angle_alpha 129.99
_cell_angle_beta 129.99
_cell_angle_gamma 33.31
_symmetry_space_group_name_H-M 'P 1'
_symmetry_Int_Tables_number 1
loop_
_symmetry_equiv_pos_as_xyz
'x,y,z'
loop_
_atom_site_label
_atom_site_fract_x
_atom_site_fract_y
_atom_site_fract_z
_atom_site_occupancy
La1 0.0847 0.0847 0.3842 1
La2 0.2500 0.2500 0.1590 1
La3 0.7500 0.7500 0.8410 1
La4 0.9153 0.9153 0.6158 1
Al1 0.5000 0.5000 0.0000 1
O1 0.0000 0.0000 0.0000 1
O2 0.1277 0.1277 0.6993 1
O3 0.3015 0.3015 0.4496 1
O4 0.4146 0.4146 0.0933 1
O5 0.5854 0.5854 0.9067 1
O6 0.6985 0.6985 0.5504 1
O7 0.8723 0.8723 0.3007 1
```



Record 4
The following is a DFT calculation (GGA-PBE) of a relaxed LaAl2O4 crystal.

Properties
E_form (uncorrected) = -20.58 eV/f.u.
final energy = -7.55 eV per atom
theoretical density = 4.31 g cm⁻³
size of the total moment = 0.0 μB/f.u.
crystal system = monoclinic
symmetry = C2 (5)

The structure in CIF format:
```
data_LaAl2O4
_cell_length_a 5.5638
_cell_length_b 5.5638
_cell_length_c 7.2508
_cell_angle_alpha 109.60
_cell_angle_beta 109.60
_cell_angle_gamma 78.25
_symmetry_space_group_name_H-M 'P 1'
_symmetry_Int_Tables_number 1
loop_
_symmetry_equiv_pos_as_xyz
'x,y,z'
loop_
_atom_site_label
_atom_site_fract_x
_atom_site_fract_y
_atom_site_fract_z
_atom_site_occupancy
La1 0.0000 0.0000 0.0000 1
La2 0.8059 0.1941 0.5000 1
Al1 0.0594 0.5543 0.3440 1
Al2 0.4359 0.5257 0.8116 1
Al3 0.4457 0.9406 0.6560 1
Al4 0.4743 0.5641 0.1884 1
O1 0.1574 0.0334 0.7280 1
O2 0.1607 0.4959 0.5889 1
O3 0.2879 0.3555 0.2179 1
O4 0.5041 0.8393 0.4111 1
O5 0.6274 0.2134 0.7744 1
O6 0.6445 0.7121 0.7821 1
O7 0.7866 0.3726 0.2256 1
O8 0.9666 0.8426 0.2720 1
```



Record 5
The following is a DFT calculation (GGA-PBE) of a relaxed La4Al6O15 crystal.

Properties
E_form (uncorrected) = -79.40 eV/f.u.
final energy = -7.84 eV per atom
theoretical density = 4.58 g cm⁻³
size of the total moment = 0.0 μB/f.u.
crystal system = monoclinic
symmetry = C2/c (15)

The structure in CIF format:
```
data_La4Al6O15
_cell_length_a 6.9557
_cell_length_b 6.9557
_cell_length_c 21.1865
_cell_angle_alpha 92.56
_cell_angle_beta 92.56
_cell_angle_gamma 42.73
_symmetry_space_group_name_H-M 'P 1'
_symmetry_Int_Tables_number 1
loop_
_symmetry_equiv_pos_as_xyz
'x,y,z'
loop_
_atom_site_label
_atom_site_fract_x
_atom_site_fract_y
_atom_site_fract_z
_atom_site_occupancy
La1 0.0572 0.6681 0.7018 1
La2 0.0794 0.6341 0.8988 1
La3 0.3319 0.9428 0.7982 1
La4 0.3659 0.9206 0.6012 1
La5 0.6341 0.0794 0.3988 1
La6 0.6681 0.0572 0.2018 1
La7 0.9206 0.3659 0.1012 1
La8 0.9428 0.3319 0.2982 1
Al1 0.0203 0.6520 0.5270 1
Al2 0.1858 0.6557 0.3060 1
Al3 0.2008 0.6269 0.0862 1
Al4 0.3443 0.8142 0.1940 1
Al5 0.3480 0.9797 0.9730 1
Al6 0.3731 0.7992 0.4138 1
Al7 0.6269 0.2008 0.5862 1
Al8 0.6520 0.0203 0.0270 1
Al9 0.6557 0.1858 0.8060 1
Al10 0.7992 0.3731 0.9138 1
Al11 0.8142 0.3443 0.6940 1
Al12 0.9797 0.3480 0.4730 1
O1 0.0022 0.6301 0.1371 1
O2 0.0200 0.7471 0.0122 1
O3 0.0906 0.3085 0.7069 1
O4 0.1187 0.8813 0.2500 1
O5 0.1201 0.4754 0.4511 1
O6 0.1258 0.8148 0.3804 1
O7 0.1852 0.8742 0.1196 1
O8 0.2529 0.9800 0.4878 1
O9 0.2793 0.5523 0.5819 1
O10 0.3085 0.0906 0.2069 1
O11 0.3151 0.5357 0.8033 1
O12 0.3699 0.9978 0.3629 1
O13 0.4477 0.7207 0.9181 1
O14 0.4643 0.6849 0.6967 1
O15 0.4754 0.1201 0.9511 1
O16 0.5246 0.8799 0.0489 1
O17 0.5357 0.3151 0.3033 1
O18 0.5523 0.2793 0.0819 1
O19 0.6301 0.0022 0.6371 1
O20 0.6849 0.4643 0.1967 1
O21 0.6915 0.9094 0.7931 1
O22 0.7207 0.4477 0.4181 1
O23 0.7471 0.0200 0.5122 1
O24 0.8148 0.1258 0.8804 1
O25 0.8742 0.1852 0.6196 1
O26 0.8799 0.5246 0.5489 1
O27 0.8813 0.1187 0.7500 1
O28 0.9094 0.6915 0.2931 1
O29 0.9800 0.2529 0.9878 1
O30 0.9978 0.3699 0.8629 1
```



Record 6
The following is a DFT calculation (GGA-PBE) of a relaxed La3AlO crystal.

Properties
E_form (uncorrected) = -6.16 eV/f.u.
final energy = -5.93 eV per atom
theoretical density = 6.01 g cm⁻³
size of the total moment = 0.0 μB/f.u.
crystal system = orthorhombic
symmetry = Cmmm (65)

The structure in CIF format:
```
data_La3AlO
_cell_length_a 6.1174
_cell_length_b 6.1174
_cell_length_c 7.0590
_cell_angle_alpha 90.00
_cell_angle_beta 90.00
_cell_angle_gamma 105.84
_symmetry_space_group_name_H-M 'P 1'
_symmetry_Int_Tables_number 1
loop_
_symmetry_equiv_pos_as_xyz
'x,y,z'
loop_
_atom_site_label
_atom_site_fract_x
_atom_site_fract_y
_atom_site_fract_z
_atom_site_occupancy
La1 0.2367 0.7633 0.2400 1
La2 0.2367 0.7633 0.7600 1
La3 0.2639 0.2639 0.5000 1
La4 0.7361 0.7361 0.5000 1
La5 0.7633 0.2367 0.2400 1
La6 0.7633 0.2367 0.7600 1
Al1 0.2892 0.2892 0.0000 1
Al2 0.7108 0.7108 0.0000 1
O1 0.0000 0.5000 0.5000 1
O2 0.5000 0.0000 0.5000 1
```



Record 7
The following is a DFT calculation (GGA-PBE) of a relaxed La3AlO crystal.

Properties
E_form (uncorrected) = -6.15 eV/f.u.
final energy = -5.93 eV per atom
theoretical density = 5.98 g cm⁻³
size of the total moment = 0.0 μB/f.u.
crystal system = orthorhombic
symmetry = Fmmm (69)

The structure in CIF format:
```
data_La3AlO
_cell_length_a 8.5788
_cell_length_b 7.9635
_cell_length_c 6.1321
_cell_angle_alpha 73.69
_cell_angle_beta 62.99
_cell_angle_gamma 43.32
_symmetry_space_group_name_H-M 'P 1'
_symmetry_Int_Tables_number 1
loop_
_symmetry_equiv_pos_as_xyz
'x,y,z'
loop_
_atom_site_label
_atom_site_fract_x
_atom_site_fract_y
_atom_site_fract_z
_atom_site_occupancy
La1 0.0000 0.5000 0.0000 1
La2 0.1209 0.6382 0.3618 1
La3 0.3618 0.8791 0.1209 1
La4 0.5000 0.0000 0.5000 1
La5 0.6382 0.1209 0.8791 1
La6 0.8791 0.3618 0.6382 1
Al1 0.2836 0.7164 0.7164 1
Al2 0.7164 0.2836 0.2836 1
O1 0.2500 0.2500 0.2500 1
O2 0.7500 0.7500 0.7500 1
```



Record 8
The following is a DFT calculation (GGA-PBE) of a relaxed La3AlO crystal.

Properties
E_form (uncorrected) = -2.85 eV/f.u.
final energy = -5.27 eV per atom
theoretical density = 3.82 g cm⁻³
size of the total moment = 0.0 μB/f.u.
crystal system = orthorhombic
symmetry = Amm2 (38)

The structure in CIF format:
```
data_La3AlO
_cell_length_a 3.5361
_cell_length_b 8.4909
_cell_length_c 8.4909
_cell_angle_alpha 51.65
_cell_angle_beta 90.00
_cell_angle_gamma 90.00
_symmetry_space_group_name_H-M 'P 1'
_symmetry_Int_Tables_number 1
loop_
_symmetry_equiv_pos_as_xyz
'x,y,z'
loop_
_atom_site_label
_atom_site_fract_x
_atom_site_fract_y
_atom_site_fract_z
_atom_site_occupancy
La1 0.0000 0.0000 0.0000 1
La2 0.5000 0.0533 0.5955 1
La3 0.5000 0.5955 0.0533 1
Al1 0.5000 0.1700 0.1700 1
O1 0.0000 0.8260 0.8260 1
```



Record 9
The following is a DFT calculation (GGA-PBE) of a relaxed La3AlO crystal.

Properties
E_form (uncorrected) = -5.92 eV/f.u.
final energy = -5.88 eV per atom
theoretical density = 5.33 g cm⁻³
size of the total moment = 0.0 μB/f.u.
crystal system = monoclinic
symmetry = C2/c (15)

The structure in CIF format:
```
data_La3AlO
_cell_length_a 9.4425
_cell_length_b 9.4425
_cell_length_c 6.9300
_cell_angle_alpha 100.43
_cell_angle_beta 100.43
_cell_angle_gamma 72.18
_symmetry_space_group_name_H-M 'P 1'
_symmetry_Int_Tables_number 1
loop_
_symmetry_equiv_pos_as_xyz
'x,y,z'
loop_
_atom_site_label
_atom_site_fract_x
_atom_site_fract_y
_atom_site_fract_z
_atom_site_occupancy
La1 0.0056 0.2151 0.0959 1
La2 0.0971 0.6262 0.3908 1
La3 0.2151 0.0056 0.5959 1
La4 0.2784 0.3811 0.9124 1
La5 0.3738 0.9029 0.1092 1
La6 0.3811 0.2784 0.4124 1
La7 0.6189 0.7216 0.5876 1
La8 0.6262 0.0971 0.8908 1
La9 0.7216 0.6189 0.0876 1
La10 0.7849 0.9944 0.4041 1
La11 0.9029 0.3738 0.6092 1
La12 0.9944 0.7849 0.9041 1
Al1 0.3595 0.6405 0.7500 1
Al2 0.3954 0.6046 0.2500 1
Al3 0.6046 0.3954 0.7500 1
Al4 0.6405 0.3595 0.2500 1
O1 0.1093 0.2288 0.8077 1
O2 0.2288 0.1093 0.3077 1
O3 0.7712 0.8907 0.6923 1
O4 0.8907 0.7712 0.1923 1
```



Record 10
The following is a DFT calculation (GGA-PBE) of a relaxed La3AlO crystal.

Properties
E_form (uncorrected) = -5.89 eV/f.u.
final energy = -5.87 eV per atom
theoretical density = 5.16 g cm⁻³
size of the total moment = 0.0 μB/f.u.
crystal system = triclinic
symmetry = P1 (1)

The structure in CIF format:
```
data_La3AlO
_cell_length_a 6.6349
_cell_length_b 6.7097
_cell_length_c 7.5126
_cell_angle_alpha 68.32
_cell_angle_beta 86.10
_cell_angle_gamma 72.24
_symmetry_space_group_name_H-M 'P 1'
_symmetry_Int_Tables_number 1
loop_
_symmetry_equiv_pos_as_xyz
'x,y,z'
loop_
_atom_site_label
_atom_site_fract_x
_atom_site_fract_y
_atom_site_fract_z
_atom_site_occupancy
La1 0.0000 0.0000 0.0000 1
La2 0.0240 0.1400 0.4534 1
La3 0.4222 0.3658 0.1292 1
La4 0.4885 0.1531 0.7347 1
La5 0.6319 0.7157 0.2998 1
La6 0.9144 0.5962 0.8062 1
Al1 0.1636 0.6183 0.4214 1
Al2 0.3962 0.6994 0.6958 1
O1 0.6321 0.0518 0.0632 1
O2 0.8487 0.9844 0.7220 1
```